# ScCd2Ru PBEsol relaxed
data_ScCd2Ru
_chemical_formula_sum 'Sc2 Cd4 Ru2'
_cell_length_a 4.154
_cell_length_b 4.154
_cell_length_c 8.139
_cell_angle_alpha 90.00
_cell_angle_beta 90.00
_cell_angle_gamma 90.00
_space_group_name_H-M_alt 'I -4 m 2'
_space_group_IT_number 119
_space_group_name_Hall 'I -4 -2'
loop_
_atom_site_label
_atom_site_fract_x
_atom_site_fract_y
_atom_site_fract_z
Sc1 0.000 0.000 0.000
Cd1 0.000 0.000 0.500
Cd2 0.000 0.500 0.250
Ru1 0.000 0.500 0.750
# E_tot   -4.8889 eV/atom
# Total magnetization   0.00 Bohr magnetons per cell